(1)
# LiCaTmRu GGA-PBE relaxed
data_LiCaTmRu
_chemical_formula_sum 'Li4 Ca4 Tm4 Ru4'
_symmetry_space_group_name_H-M 'F -4 3 m'
_symmetry_Int_Tables_number 216
_symmetry_space_group_name_Hall 'F -4 2 3'
_cell_length_a 6.958
_cell_length_b 6.958
_cell_length_c 6.958
_cell_angle_alpha 90.00
_cell_angle_beta 90.00
_cell_angle_gamma 90.00
loop_
_atom_site_label
_atom_site_fract_x
_atom_site_fract_y
_atom_site_fract_z
Li1 0.000 0.000 0.000
Ca1 0.250 0.250 0.750
Tm1 0.250 0.250 0.250
Ru1 0.000 0.000 0.500
# Theoretical density in Mg/m³: 6.3
# Total magnetization in μB/atom: 0.00
# Calculated volume in A^3/atom: 21.1
# ΔE_f in kcal/mol of atoms: -1.60

(2)
# HfGe3 GGA-PBE relaxed
data_HfGe3
_chemical_formula_sum 'Hf2 Ge6'
_symmetry_space_group_name_H-M 'I m m 2'
_symmetry_Int_Tables_number 44
_cell_length_a 3.075
_cell_length_b 9.698
_cell_length_c 4.950
_cell_angle_alpha 90.00
_cell_angle_beta 90.00
_cell_angle_gamma 90.00
loop_
_symmetry_equiv_pos_as_xyz
'x,y,z'
'-x,-y,z'
'-x,y,z'
'x,-y,z'
'x+1/2,y+1/2,z+1/2'
'-x+1/2,-y+1/2,z+1/2'
'-x+1/2,y+1/2,z+1/2'
'x+1/2,-y+1/2,z+1/2'
loop_
_atom_site_label
_atom_site_fract_x
_atom_site_fract_y
_atom_site_fract_z
Hf1 0.000 0.000 0.000
Ge1 0.000 0.257 0.331
Ge2 0.000 0.500 0.992
# Theoretical density in Mg/m³: 8.9
# Total magnetization in μB/atom: 0.00
# Calculated volume in A^3/atom: 18.5
# ΔE_f in kcal/mol of atoms: -2.28

(3)
# Pr3SmY5 GGA-PBE relaxed
data_Pr3SmY5
_chemical_formula_sum 'Pr6 Sm2 Y10'
_symmetry_space_group_name_H-M 'P 63/m c m'
_symmetry_Int_Tables_number 193
_symmetry_space_group_name_Hall '-P 6c 2'
_cell_length_a 9.9107
_cell_length_b 9.9107
_cell_length_c 7.1487
_cell_angle_alpha 90.00
_cell_angle_beta 90.00
_cell_angle_gamma 120.00
loop_
_atom_site_label
_atom_site_fract_x
_atom_site_fract_y
_atom_site_fract_z
Pr1 0.0000 0.3559 0.2500
Sm1 0.0000 0.0000 0.0000
Y1 0.0000 0.3135 0.7500
Y2 0.3333 0.6667 0.0000
# Theoretical density in Mg/m³: 5.6
# Total magnetization in μB/atom: 0.00
# Calculated volume in A^3/atom: 33.8
# ΔE_f in kcal/mol of atoms: 1.26

(4)
# Ti2Pb2Cl2O5 GGA-PBE relaxed
data_Ti2Pb2Cl2O5
_chemical_formula_sum 'Ti4 Pb4 Cl4 O10'
_symmetry_space_group_name_H-M 'I 4/m m m'
_symmetry_Int_Tables_number 139
_symmetry_space_group_name_Hall '-I 4 2'
_cell_length_a 3.833
_cell_length_b 3.833
_cell_length_c 27.007
_cell_angle_alpha 90.00
_cell_angle_beta 90.00
_cell_angle_gamma 90.00
loop_
_atom_site_label
_atom_site_fract_x
_atom_site_fract_y
_atom_site_fract_z
Ti1 0.000 0.000 0.067
Pb1 0.000 0.000 0.352
Cl1 0.000 0.000 0.196
O1 0.000 0.000 0.000
O2 0.000 0.500 0.086
# Theoretical density in Mg/m³: 5.5
# Total magnetization in μB/atom: 0.00
# Calculated volume in A^3/atom: 18.0
# Energy relative to the elements, uncorrected in kJ per mole of atoms: -207.7

(5)
# NaHg2Sb GGA-PBE relaxed
data_NaHg2Sb
_chemical_formula_sum 'Na3 Hg6 Sb3'
_symmetry_space_group_name_H-M 'R 3 m'
_symmetry_Int_Tables_number 160
_symmetry_space_group_name_Hall 'R 3 -2"'
_cell_length_a 4.6568
_cell_length_b 4.6568
_cell_length_c 21.2844
_cell_angle_alpha 90.00
_cell_angle_beta 90.00
_cell_angle_gamma 120.00
loop_
_atom_site_label
_atom_site_fract_x
_atom_site_fract_y
_atom_site_fract_z
Na1 0.0000 0.0000 0.0000
Hg1 0.0000 0.0000 0.4383
Hg2 0.0000 0.0000 0.5894
Sb1 0.0000 0.0000 0.1474
# Theoretical density in Mg/m³: 6.8
# Total magnetization in μB/atom: 0.00
# Calculated volume in A^3/atom: 33.3
# Energy relative to the elements, uncorrected in kJ per mole of atoms: -3.1

(6)
# Ag3Pd4 GGA-PBE relaxed
data_Ag3Pd4
_chemical_formula_sum 'Ag6 Pd8'
_symmetry_space_group_name_H-M 'I 4/m m m'
_symmetry_Int_Tables_number 139
_symmetry_space_group_name_Hall '-I 4 2'
_cell_length_a 2.832
_cell_length_b 2.832
_cell_length_c 28.548
_cell_angle_alpha 90.00
_cell_angle_beta 90.00
_cell_angle_gamma 90.00
loop_
_atom_site_label
_atom_site_fract_x
_atom_site_fract_y
_atom_site_fract_z
Ag1 0.000 0.000 0.000
Ag2 0.000 0.000 0.288
Pd1 0.000 0.000 0.141
Pd2 0.000 0.000 0.428
# Theoretical density in Mg/m³: 10.9
# Total magnetization in μB/atom: 0.00
# Calculated volume in A^3/atom: 16.4
# ΔE_f in kcal/mol of atoms: -0.49

(7)
# Sb2TeHC GGA-PBE relaxed
data_Sb2TeHC
_chemical_formula_sum 'Sb2 Te1 H1 C1'
_symmetry_space_group_name_H-M 'P 4/m m m'
_symmetry_Int_Tables_number 123
_symmetry_space_group_name_Hall '-P 4 2'
_cell_length_a 4.315
_cell_length_b 4.315
_cell_length_c 5.260
_cell_angle_alpha 90.00
_cell_angle_beta 90.00
_cell_angle_gamma 90.00
loop_
_atom_site_label
_atom_site_fract_x
_atom_site_fract_y
_atom_site_fract_z
Sb1 0.000 0.500 0.000
Te1 0.000 0.000 0.500
H1 0.000 0.000 0.000
C1 0.500 0.500 0.500
# Theoretical density in Mg/m³: 6.5
# Total magnetization in μB/atom: 0.05
# Calculated volume in A^3/atom: 19.6
# Polymorph energy (0 for the lowest one) in eV/atom: 0.225

(8)
# Na2HgGe GGA-PBE relaxed
data_Na2HgGe
_chemical_formula_sum 'Na2 Hg1 Ge1'
_symmetry_space_group_name_H-M 'P 4/m m m'
_symmetry_Int_Tables_number 123
_symmetry_space_group_name_Hall '-P 4 2'
_cell_length_a 4.407
_cell_length_b 4.407
_cell_length_c 4.756
_cell_angle_alpha 90.00
_cell_angle_beta 90.00
_cell_angle_gamma 90.00
loop_
_atom_site_label
_atom_site_fract_x
_atom_site_fract_y
_atom_site_fract_z
Na1 0.000 0.500 0.000
Hg1 0.000 0.000 0.500
Ge1 0.500 0.500 0.500
# Theoretical density in Mg/m³: 5.7
# Total magnetization in μB/atom: 0.00
# Calculated volume in A^3/atom: 23.1
# ΔE_f in kcal/mol of atoms: -0.82

(9)
# La2Pd15Pt2 GGA-PBE relaxed
data_La2Pd15Pt2
_chemical_formula_sum 'La6 Pd45 Pt6'
_symmetry_space_group_name_H-M 'R -3 m'
_symmetry_Int_Tables_number 166
_symmetry_space_group_name_Hall '-R 3 2"'
_cell_length_a 9.2099
_cell_length_b 9.2099
_cell_length_c 13.6312
_cell_angle_alpha 90.00
_cell_angle_beta 90.00
_cell_angle_gamma 120.00
loop_
_atom_site_label
_atom_site_fract_x
_atom_site_fract_y
_atom_site_fract_z
La1 0.0000 0.0000 0.1681
Pd1 0.0000 0.2998 0.5000
Pd2 0.0000 0.5000 0.0000
Pd3 0.0043 0.5021 0.6530
Pt1 0.0000 0.0000 0.3984
# Theoretical density in Mg/m³: 11.3
# Total magnetization in μB/atom: 0.00
# Calculated volume in A^3/atom: 17.6
# ΔE_f in kcal/mol of atoms: -7.77

(10)
# RbNaAsSe3 GGA-PBE relaxed
data_RbNaAsSe3
_chemical_formula_sum 'Rb4 Na4 As4 Se12'
_symmetry_space_group_name_H-M 'C 1 2/m 1'
_symmetry_Int_Tables_number 12
_cell_length_a 12.891
_cell_length_b 7.861
_cell_length_c 8.525
_cell_angle_alpha 90.00
_cell_angle_beta 90.25
_cell_angle_gamma 90.00
loop_
_symmetry_equiv_pos_as_xyz
'x,y,z'
'-x,-y,-z'
'-x,y,-z'
'x,-y,z'
'x+1/2,y+1/2,z'
'-x+1/2,-y+1/2,-z'
'-x+1/2,y+1/2,-z'
'x+1/2,-y+1/2,z'
loop_
_atom_site_label
_atom_site_fract_x
_atom_site_fract_y
_atom_site_fract_z
Rb1 0.158 0.000 0.134
Na1 0.000 0.291 0.500
As1 0.019 0.500 0.851
Se1 0.111 0.251 0.797
Se2 0.137 0.500 0.290
# Theoretical density in Mg/m³: 3.2
# Total magnetization in μB/atom: 0.00
# Calculated volume in A^3/atom: 36.0
# Energy relative to the elements, uncorrected in kJ per mole of atoms: -62.4

(11)
# BaCd2Ga6 GGA-PBE relaxed
data_BaCd2Ga6
_chemical_formula_sum 'Ba1 Cd2 Ga6'
_symmetry_space_group_name_H-M 'P 6/m m m'
_symmetry_Int_Tables_number 191
_symmetry_space_group_name_Hall '-P 6 2'
_cell_length_a 8.2048
_cell_length_b 8.2048
_cell_length_c 3.6189
_cell_angle_alpha 90.00
_cell_angle_beta 90.00
_cell_angle_gamma 120.00
loop_
_atom_site_label
_atom_site_fract_x
_atom_site_fract_y
_atom_site_fract_z
Ba1 0.0000 0.0000 0.0000
Cd1 0.3333 0.6667 0.0000
Ga1 0.0000 0.3465 0.5000
# Theoretical density in Mg/m³: 6.1
# Total magnetization in μB/atom: 0.00
# Calculated volume in A^3/atom: 23.4
# ΔE_f in kcal/mol of atoms: -1.18